Record 1
This record from the Open Quantum Materials Database describes crystalline RbPr2Cu3Te4Se at its relaxed geometry. The functional is PBE.

Geometry as POSCAR:
```
RbPr2Cu3Te4Se
1.0
2.2053 -7.7800 0.0000
2.2053 7.7800 0.0000
0.0000 0.0000 18.3980
Te Rb Se Cu Pr
8 2 2 6 4
Cartesian
2.2053 -0.8148 6.9283 Te
2.2053 -5.3681 1.3211 Te
2.2053 5.3681 10.5201 Te
2.2053 0.8148 11.4697 Te
2.2053 0.8148 16.1273 Te
2.2053 -5.3681 7.8780 Te
2.2053 -0.8148 2.2707 Te
2.2053 5.3681 17.0770 Te
2.2053 6.7105 13.7985 Rb
2.2053 -6.7105 4.5995 Rb
2.2053 -3.9898 13.7985 Se
2.2053 3.9898 4.5995 Se
2.2053 -1.3200 9.5306 Cu
2.2053 -2.6021 4.5995 Cu
2.2053 -1.3200 18.0665 Cu
2.2053 2.6021 13.7985 Cu
2.2053 1.3200 8.8675 Cu
2.2053 1.3200 0.3316 Cu
2.2053 -4.7403 16.6218 Pr
2.2053 4.7403 7.4227 Pr
2.2053 4.7403 1.7763 Pr
2.2053 -4.7403 10.9753 Pr
```

Calculated values
* E_tot: -95.304 eV for the cell shown
* SG: Cmcm, No. 63

Record 2
This record from the Open Quantum Materials Database describes crystalline Rb2CdO4 at its relaxed geometry. The functional is PBE.

Geometry as POSCAR:
```
Rb2CdO4
1.0
5.2388 -5.2394 0.0000
-5.2388 0.0000 -5.2394
5.2388 5.2394 0.0000
Cd O Rb
2 8 4
Cartesian
0.0000 0.0000 0.0000 Cd
2.6194 -2.6197 -2.6197 Cd
1.1887 4.0501 -4.0501 O
3.8081 -1.4304 -1.4304 O
1.4307 -1.4304 -3.8090 O
1.1887 1.1893 -1.1893 O
6.6695 1.4304 -1.4304 O
4.0501 4.0501 -1.1893 O
-1.4307 1.4304 -3.8090 O
4.0501 1.1893 -4.0501 O
1.3097 1.3098 -3.9295 Rb
3.9291 1.3098 -1.3098 Rb
-1.3097 -1.3098 -3.9295 Rb
6.5485 -1.3098 -1.3098 Rb
```

Calculated values
* E_tot: -46.587 eV for the cell shown
* SG: Fd-3m, No. 227

Record 3
This record from the Open Quantum Materials Database describes crystalline Er5InGa2 at its relaxed geometry. The functional is PBE.

Geometry as POSCAR:
```
Er5InGa2
1.0
-6.4017 -4.6406 4.1331
-6.8349 5.6829 0.7671
4.7072 -2.1702 -7.2616
Ga Er In
4 10 2
Cartesian
-7.6279 0.9839 -0.3754 Ga
-0.9015 -2.1118 -1.9861 Ga
-6.9866 -2.4710 2.0916 Ga
-1.5428 1.3431 -4.4531 Ga
0.4222 -4.1034 -3.8684 Er
-5.6329 -1.3188 -0.3786 Er
-5.1424 2.6755 0.0967 Er
-3.3870 -3.8034 -2.4582 Er
0.9128 -0.1090 -3.3931 Er
-6.6183 0.5212 2.4501 Er
0.0000 0.0000 0.0000 Er
-9.4421 -1.0189 1.0316 Er
-8.9516 2.9755 1.5069 Er
-2.8965 0.1909 -1.9829 Er
-3.3091 0.2606 1.2250 In
-9.9274 0.7817 3.6751 In
```

Calculated values
* E_tot: -70.894 eV for the cell shown
* SG: I4/mcm, No. 140

Record 4
This record from the Open Quantum Materials Database describes crystalline LaBeBPt at its relaxed geometry. The functional is PBE.

Geometry as POSCAR:
```
LaBeBPt
1.0
-1.8263 -0.5269 4.1461
0.5735 3.2273 3.1716
-3.5290 2.5890 1.2833
La Pt B Be
1 1 1 1
Cartesian
0.0000 0.0000 0.0000 La
-1.1955 1.3223 2.1503 Pt
-2.3909 2.6447 4.3005 B
-3.5864 3.9670 6.4508 Be
```

Calculated values
* excess energy over the best structure of this formula in the dataset: 0.464 eV/atom
* SG: F-43m, No. 216

Record 5
This record from the Open Quantum Materials Database describes crystalline Al2HgC2 at its relaxed geometry. The functional is PBE.

Geometry as POSCAR:
```
Al2HgC2
1.0
-0.9014 3.2324 0.7856
-0.8391 0.8153 3.2418
6.2418 1.4351 1.2538
C Al Hg
2 2 1
Cartesian
3.1528 3.6902 3.5513 C
1.3486 1.7926 1.7298 C
3.4642 2.2791 2.1548 Al
1.0371 3.2037 3.1263 Al
0.0000 0.0000 0.0000 Hg
```

Calculated values
* E_tot: -23.618 eV for the cell shown
* SG: P-3m1, No. 164

Record 6
This record from the Open Quantum Materials Database describes crystalline BaIn6Pd4 at its relaxed geometry. The functional is PBE.

Geometry as POSCAR:
```
BaIn6Pd4
1.0
7.9530 0.0000 0.0000
-3.9765 6.8875 0.0000
0.0000 0.0000 4.4554
Pd In Ba
4 6 1
Cartesian
2.4993 1.4430 2.2277 Pd
3.9765 4.0015 2.2277 Pd
5.4537 1.4430 2.2277 Pd
0.0000 4.5917 0.0000 Pd
2.3974 3.2075 0.0000 In
-1.6106 5.5216 2.2277 In
3.9765 0.4725 0.0000 In
0.0000 2.7319 2.2277 In
5.5555 3.2075 0.0000 In
1.6106 5.5216 2.2277 In
0.0000 0.0000 0.0000 Ba
```

Calculated values
* E_tot: -44.855 eV for the cell shown
* SG: P-6m2, No. 187

Ordered density results: 6.04 4.01 8.67 8.76 6.89 8.52; unit Mg/m³.